No. 1
# Y2CdSe, optimized geometry, DFT PBEsol
# * ΔE_f (raw): -3.78 eV/f.u.
# * polymorph energy (0 for the lowest one): 108 meV/atom
data_Y2CdSe
_chemical_formula_sum 'Y2 Cd1 Se1'
_cell_length_a 4.141
_cell_length_b 4.151
_cell_length_c 5.920
_cell_angle_alpha 90.00
_cell_angle_beta 90.00
_cell_angle_gamma 90.00
_symmetry_space_group_name_H-M 'P m m m'
_symmetry_Int_Tables_number 47
_symmetry_space_group_name_Hall '-P 2 2'
loop_
_atom_site_label
_atom_site_type_symbol
_atom_site_fract_x
_atom_site_fract_y
_atom_site_fract_z
Y1 Y 0.000 0.000 0.000
Y2 Y 0.500 0.500 0.500
Cd1 Cd 0.000 0.000 0.500
Se1 Se 0.500 0.500 0.000

---

No. 2
# TaAsSe2Cl, optimized geometry, DFT PBEsol
# * ΔE_f (raw): 6.19 eV/f.u.
data_TaAsSe2Cl
_chemical_formula_sum 'Ta1 As1 Se2 Cl1'
_cell_length_a 4.649
_cell_length_b 4.649
_cell_length_c 4.792
_cell_angle_alpha 90.00
_cell_angle_beta 90.00
_cell_angle_gamma 90.00
_symmetry_space_group_name_H-M 'P 4/m m m'
_symmetry_Int_Tables_number 123
_symmetry_space_group_name_Hall '-P 4 2'
loop_
_atom_site_label
_atom_site_type_symbol
_atom_site_fract_x
_atom_site_fract_y
_atom_site_fract_z
Ta1 Ta 0.000 0.000 0.000
As1 As 0.500 0.500 0.000
Se1 Se 0.000 0.500 0.500
Cl1 Cl 0.500 0.500 0.500

---

No. 3
# FeSe, optimized geometry, DFT PBEsol
# * ΔE_f (raw): -0.61 eV/f.u.
data_FeSe
_chemical_formula_sum 'Fe2 Se2'
_cell_length_a 3.609
_cell_length_b 3.610
_cell_length_c 5.468
_cell_angle_alpha 90.00
_cell_angle_beta 90.10
_cell_angle_gamma 90.00
_symmetry_space_group_name_H-M 'P 1 21/m 1'
_symmetry_Int_Tables_number 11
_symmetry_space_group_name_Hall '-P 2yb'
loop_
_atom_site_label
_atom_site_type_symbol
_atom_site_fract_x
_atom_site_fract_y
_atom_site_fract_z
Fe1 Fe 0.250 0.250 0.000
Se1 Se 0.249 0.750 0.747

---

No. 4
# Hg2SbSe, optimized geometry, DFT PBEsol
# * ΔE_f (raw): 0.29 eV/f.u.
data_Hg2SbSe
_chemical_formula_sum 'Hg2 Sb1 Se1'
_cell_length_a 3.721
_cell_length_b 4.421
_cell_length_c 6.014
_cell_angle_alpha 90.00
_cell_angle_beta 90.00
_cell_angle_gamma 90.00
_symmetry_space_group_name_H-M 'P m m m'
_symmetry_Int_Tables_number 47
_symmetry_space_group_name_Hall '-P 2 2'
loop_
_atom_site_label
_atom_site_type_symbol
_atom_site_fract_x
_atom_site_fract_y
_atom_site_fract_z
Hg1 Hg 0.000 0.000 0.000
Hg2 Hg 0.500 0.500 0.000
Sb1 Sb 0.000 0.500 0.500
Se1 Se 0.500 0.000 0.500

---

No. 5
# Ca3CoHg, optimized geometry, DFT PBEsol
# * ΔH_f (0 K): 608 meV/atom
data_Ca3CoHg
_chemical_formula_sum 'Ca3 Co1 Hg1'
_cell_length_a 5.658
_cell_length_b 5.658
_cell_length_c 5.658
_cell_angle_alpha 90.00
_cell_angle_beta 90.00
_cell_angle_gamma 90.00
_symmetry_space_group_name_H-M 'P m -3 m'
_symmetry_Int_Tables_number 221
_symmetry_space_group_name_Hall '-P 4 2 3'
loop_
_atom_site_label
_atom_site_type_symbol
_atom_site_fract_x
_atom_site_fract_y
_atom_site_fract_z
Ca1 Ca 0.000 0.000 0.500
Co1 Co 0.500 0.500 0.500
Hg1 Hg 0.000 0.000 0.000

---

No. 6
# MgAl2P2H18O18, optimized geometry, DFT PBEsol
# * calculated total energy: -5.91 eV per atom
data_MgAl2P2H18O18
_chemical_formula_sum 'Mg1 Al2 P2 H18 O18'
_cell_length_a 5.212
_cell_length_b 6.902
_cell_length_c 10.123
_cell_angle_alpha 96.88
_cell_angle_beta 101.69
_cell_angle_gamma 110.34
_symmetry_space_group_name_H-M 'P -1'
_symmetry_Int_Tables_number 2
_symmetry_space_group_name_Hall '-P 1'
loop_
_atom_site_label
_atom_site_type_symbol
_atom_site_fract_x
_atom_site_fract_y
_atom_site_fract_z
Mg1 Mg 0.000 0.000 0.000
Al1 Al 0.500 0.000 0.500
Al2 Al 0.500 0.500 0.500
P1 P 0.016 0.923 0.667
H1 H 0.089 0.659 0.817
H2 H 0.091 0.576 0.269
H3 H 0.163 0.675 0.516
H4 H 0.177 0.397 0.942
H5 H 0.307 0.947 0.207
H6 H 0.314 0.497 0.726
H7 H 0.323 0.411 0.099
H8 H 0.397 0.302 0.675
H9 H 0.459 0.997 0.876
O1 O 0.087 0.511 0.802
O2 O 0.097 0.902 0.819
O3 O 0.122 0.298 0.429
O4 O 0.187 0.958 0.348
O5 O 0.243 0.317 0.008
O6 O 0.292 0.050 0.628
O7 O 0.333 0.950 0.112
O8 O 0.352 0.709 0.496
O9 O 0.463 0.462 0.686

---

No. 7
# Sc2MoOs, optimized geometry, DFT PBEsol
# * ΔH_f (0 K): -14 meV/atom
data_Sc2MoOs
_chemical_formula_sum 'Sc2 Mo1 Os1'
_cell_length_a 2.938
_cell_length_b 4.390
_cell_length_c 5.437
_cell_angle_alpha 90.00
_cell_angle_beta 103.59
_cell_angle_gamma 90.00
_symmetry_space_group_name_H-M 'P 1 m 1'
_symmetry_Int_Tables_number 6
_symmetry_space_group_name_Hall 'P -2y'
loop_
_atom_site_label
_atom_site_type_symbol
_atom_site_fract_x
_atom_site_fract_y
_atom_site_fract_z
Sc1 Sc 0.000 0.000 0.000
Sc2 Sc 0.268 0.500 0.721
Mo1 Mo 0.726 0.500 0.264
Os1 Os 0.518 0.000 0.470

---

No. 8
# TlInAg4, optimized geometry, DFT PBEsol
# * ΔH_f (0 K): 57 meV/atom
data_TlInAg4
_chemical_formula_sum 'Tl4 In4 Ag16'
_cell_length_a 7.786
_cell_length_b 7.786
_cell_length_c 7.786
_cell_angle_alpha 90.00
_cell_angle_beta 90.00
_cell_angle_gamma 90.00
_symmetry_space_group_name_H-M 'F -4 3 m'
_symmetry_Int_Tables_number 216
_symmetry_space_group_name_Hall 'F -4 2 3'
loop_
_atom_site_label
_atom_site_type_symbol
_atom_site_fract_x
_atom_site_fract_y
_atom_site_fract_z
Tl1 Tl 0.000 0.000 0.000
In1 In 0.250 0.250 0.750
Ag1 Ag 0.125 0.125 0.375

---

The evaluated volume for the records listed, in turn: 25.44; 20.71; 17.81; 24.74; 36.24; 7.98; 17.04; 19.67 Å³/atom.